[1]
SmTiRe | PBE | optimized geometry

**Calculated volume**: 24.6 A^3/atom
**Formation enthalpy at 0 K**: 0.405 eV per atom

Lattice parameters (Å, degrees): 6.8998 6.8998 6.1919 90.00 90.00 90.00
Space group P4_12_12 (No. 92)
Inequivalent atoms, fractional coordinates:
1 Sm 0.2408 0.2408 0.0000 (multiplicity 4)
2 Ti 0.1970 0.8030 0.7500 (multiplicity 4)
3 Re 0.0511 0.0511 0.5000 (multiplicity 4)


[2]
SmTiRe4 | PBE | optimized geometry

**Calculated volume**: 17.9 A^3/atom
**Formation enthalpy at 0 K**: -0.019 eV per atom

Lattice parameters (Å, degrees): 7.5477 7.5477 7.5477 90.00 90.00 90.00
Space group F-43m (No. 216)
Inequivalent atoms, fractional coordinates:
1 Sm 0.0000 0.0000 0.0000 (multiplicity 4)
2 Ti 0.2500 0.2500 0.7500 (multiplicity 4)
3 Re 0.1245 0.1245 0.3755 (multiplicity 16)


[3]
SmTmRe4 | PBE | optimized geometry

**Calculated volume**: 18.9 A^3/atom
**Formation enthalpy at 0 K**: -0.131 eV per atom

Lattice parameters (Å, degrees): 7.6815 7.6815 7.6815 90.00 90.00 90.00
Space group F-43m (No. 216)
Inequivalent atoms, fractional coordinates:
1 Sm 0.0000 0.0000 0.0000 (multiplicity 4)
2 Tm 0.2500 0.2500 0.2500 (multiplicity 4)
3 Re 0.1249 0.1249 0.6249 (multiplicity 16)


[4]
SmURe | PBE | optimized geometry

**Polymorph energy (0 for the lowest one)**: 0.000 eV/f.u.
**Calculated volume**: 22.7 A^3/atom
**Formation enthalpy at 0 K**: 0.207 eV per atom

Lattice parameters (Å, degrees): 3.4893 3.4893 11.1757 90.00 90.00 90.00
Space group I4mm (No. 107)
Inequivalent atoms, fractional coordinates:
1 Sm 0.0000 0.0000 0.0000 (multiplicity 2)
2 U 0.0000 0.0000 0.6991 (multiplicity 2)
3 Re 0.0000 0.0000 0.3042 (multiplicity 2)


[5]
SmURe | PBE | optimized geometry

**Polymorph energy (0 for the lowest one)**: 0.415 eV/f.u.
**Calculated volume**: 26.2 A^3/atom
**Formation enthalpy at 0 K**: 0.345 eV per atom

Lattice parameters (Å, degrees): 4.6819 4.8497 6.9278 90.00 90.00 90.00
Space group Pmmn (No. 59, origin choice 2)
Inequivalent atoms, fractional coordinates:
1 Sm 0.2500 0.2500 0.0447 (multiplicity 2)
2 U 0.2500 0.2500 0.5465 (multiplicity 2)
3 Re 0.2500 0.7500 0.3011 (multiplicity 2)


[6]
SmURe4 | PBE | optimized geometry

**Calculated volume**: 18.9 A^3/atom
**Formation enthalpy at 0 K**: 0.079 eV per atom

Lattice parameters (Å, degrees): 7.6876 7.6876 7.6876 90.00 90.00 90.00
Space group F-43m (No. 216)
Inequivalent atoms, fractional coordinates:
1 Sm 0.0000 0.0000 0.0000 (multiplicity 4)
2 U 0.2500 0.2500 0.2500 (multiplicity 4)
3 Re 0.1252 0.1252 0.6252 (multiplicity 16)


[7]
SmReW | PBE | optimized geometry

**Calculated volume**: 20.6 A^3/atom
**Formation enthalpy at 0 K**: 0.441 eV per atom

Lattice parameters (Å, degrees): 5.1964 9.2587 20.5586 90.00 90.00 90.00
Space group Fddd (No. 70, origin choice 2)
Inequivalent atoms, fractional coordinates:
1 Sm 0.1250 0.2932 0.1250 (multiplicity 16)
2 Re 0.1250 0.1250 0.0005 (multiplicity 16)
3 W 0.1250 0.1250 0.5355 (multiplicity 16)


[8]
Sm2Re3W | PBE | optimized geometry

**Calculated volume**: 19.6 A^3/atom
**Formation enthalpy at 0 K**: -0.014 eV per atom

Lattice parameters (Å, degrees): 9.5042 5.5102 5.5051 90.00 125.21 90.00
Space group C2/m (No. 12)
Inequivalent atoms, fractional coordinates:
1 Sm 0.1238 0.0000 0.3723 (multiplicity 4)
2 Re 0.0000 0.5000 0.0000 (multiplicity 2)
3 Re 0.2500 0.2500 0.0000 (multiplicity 4)
4 W 0.0000 0.5000 0.5000 (multiplicity 2)


[9]
SmYRe4 | PBE | optimized geometry

**Calculated volume**: 19.1 A^3/atom
**Formation enthalpy at 0 K**: -0.101 eV per atom

Lattice parameters (Å, degrees): 7.7085 7.7085 7.7085 90.00 90.00 90.00
Space group F-43m (No. 216)
Inequivalent atoms, fractional coordinates:
1 Sm 0.0000 0.0000 0.0000 (multiplicity 4)
2 Y 0.2500 0.2500 0.2500 (multiplicity 4)
3 Re 0.1250 0.1250 0.6250 (multiplicity 16)


[10]
SmZr2Re | PBE | optimized geometry

**Calculated volume**: 23.1 A^3/atom
**Formation enthalpy at 0 K**: -0.026 eV per atom

Lattice parameters (Å, degrees): 3.3470 3.3470 8.2584 90.00 90.00 90.00
Space group P4/mmm (No. 123)
Inequivalent atoms, fractional coordinates:
1 Sm 0.0000 0.0000 0.0000 (multiplicity 1)
2 Zr 0.5000 0.5000 0.3104 (multiplicity 2)
3 Re 0.0000 0.0000 0.5000 (multiplicity 1)


[11]
Re4Sn | PBE | optimized geometry

**Calculated volume**: 21.0 A^3/atom
**Formation enthalpy at 0 K**: 3.176 eV per atom

Lattice parameters (Å, degrees): 4.7153 4.7153 4.7153 90.00 90.00 90.00
Space group Pm-3m (No. 221)
Inequivalent atoms, fractional coordinates:
1 Re 0.0000 0.0000 0.0000 (multiplicity 1)
2 Re 0.0000 0.5000 0.5000 (multiplicity 3)
3 Sn 0.5000 0.5000 0.5000 (multiplicity 1)


[12]
Sr3ReSn | PBE | optimized geometry

**Polymorph energy (0 for the lowest one)**: 0.000 eV/f.u.
**Calculated volume**: 38.5 A^3/atom
**Formation enthalpy at 0 K**: 0.660 eV per atom

Lattice parameters (Å, degrees): 5.7745 5.7745 5.7745 90.00 90.00 90.00
Space group Pm-3m (No. 221)
Inequivalent atoms, fractional coordinates:
1 Sr 0.0000 0.0000 0.5000 (multiplicity 3)
2 Re 0.0000 0.0000 0.0000 (multiplicity 1)
3 Sn 0.5000 0.5000 0.5000 (multiplicity 1)


One value per record, in order, for magnetic moment: 0.0, 0.0, 0.0, 0.4, 3.7, 9.4, 0.0, 0.0, 0.0, 0.0, 0.6, 2.0 Bohr magnetons per cell.